No. 1
GGA-PBE Nd4SiIr3, optimized geometry; E_form (uncorrected) = -0.686 eV/atom; crystal system = orthorhombic; total moment = 0.00 μB/f.u.
1.0
4.222 0.000 0.000
0.000 4.201 0.000
0.000 0.000 10.770
Si Ir Nd
1 3 4
direct
0.500 0.500 0.062 Si
0.000 0.500 0.578 Ir
0.000 0.000 0.420 Ir
0.500 0.000 0.937 Ir
0.500 0.500 0.359 Nd
0.000 0.500 0.854 Nd
0.000 0.000 0.144 Nd
0.500 0.000 0.646 Nd

No. 2
GGA-PBE Nd3Si2Ir2, optimized geometry; E_form (uncorrected) = -0.848 eV/atom; crystal system = orthorhombic; total moment = 0.00 μB/f.u.
1.0
-0.129 -5.682 1.358
6.677 -1.148 -4.169
7.239 2.444 10.919
Nd Si Ir
12 8 8
direct
0.130 0.616 0.104 Nd
0.870 0.384 0.604 Nd
0.870 0.116 0.396 Nd
0.130 0.884 0.896 Nd
0.870 0.384 0.896 Nd
0.130 0.616 0.396 Nd
0.130 0.884 0.604 Nd
0.870 0.116 0.104 Nd
0.374 0.263 0.250 Nd
0.626 0.737 0.750 Nd
0.626 0.763 0.250 Nd
0.374 0.237 0.750 Nd
0.413 0.250 0.000 Si
0.587 0.750 0.500 Si
0.587 0.750 0.000 Si
0.413 0.250 0.500 Si
0.846 0.411 0.250 Si
0.154 0.589 0.750 Si
0.154 0.911 0.250 Si
0.846 0.089 0.750 Si
0.639 0.478 0.088 Ir
0.361 0.522 0.588 Ir
0.361 0.978 0.412 Ir
0.639 0.022 0.912 Ir
0.361 0.522 0.912 Ir
0.639 0.478 0.412 Ir
0.639 0.022 0.588 Ir
0.361 0.978 0.088 Ir

No. 3
GGA-PBE Nd2Si5Ir, optimized geometry; E_form (uncorrected) = -0.549 eV/atom; crystal system = tetragonal; total moment = 0.00 μB/f.u.
1.0
-0.617 3.883 -4.708
-2.001 -5.794 -0.207
-3.338 0.459 5.125
Nd Si Ir
2 5 1
direct
0.500 0.229 0.729 Nd
0.500 0.729 0.229 Nd
0.418 0.696 0.696 Si
0.000 0.696 0.278 Si
0.000 0.278 0.696 Si
0.582 0.278 0.278 Si
0.000 0.289 0.289 Si
0.000 0.027 0.027 Ir

No. 4
GGA-PBE NdSi2Ir, optimized geometry; E_form (uncorrected) = -0.889 eV/atom; crystal system = orthorhombic; total moment = 0.00 μB/f.u.
1.0
4.289 0.000 0.000
0.000 8.763 0.000
-2.144 -4.382 8.002
Nd Si Ir
4 8 4
direct
0.706 0.706 0.411 Nd
0.500 0.254 0.000 Nd
0.500 0.746 0.000 Nd
0.294 0.294 0.589 Nd
0.925 0.425 0.850 Si
0.700 0.354 0.400 Si
0.700 0.046 0.400 Si
0.300 0.646 0.600 Si
0.078 0.078 0.156 Si
0.075 0.575 0.150 Si
0.922 0.922 0.844 Si
0.300 0.954 0.600 Si
0.854 0.607 0.708 Ir
0.146 0.393 0.292 Ir
0.146 0.900 0.292 Ir
0.854 0.100 0.708 Ir

No. 5
GGA-PBE NdSi2Ir3, optimized geometry; E_form (uncorrected) = -0.939 eV/atom; crystal system = orthorhombic; total moment = 0.00 μB/f.u.
1.0
-4.905 -3.485 -2.975
2.108 -5.882 2.453
-2.053 5.552 3.165
Nd Si Ir
2 4 6
direct
0.250 0.972 0.722 Nd
0.750 0.028 0.278 Nd
0.079 0.282 0.202 Si
0.921 0.718 0.798 Si
0.421 0.623 0.202 Si
0.579 0.377 0.798 Si
0.500 0.500 0.500 Ir
0.000 0.500 0.000 Ir
0.280 0.000 0.280 Ir
0.720 0.000 0.720 Ir
0.220 0.500 0.720 Ir
0.780 0.500 0.280 Ir

No. 6
GGA-PBE Nd3Si2Ir3, optimized geometry; E_form (uncorrected) = -0.913 eV/atom; crystal system = orthorhombic; total moment = 0.00 μB/f.u.
1.0
-4.445 3.381 -1.317
-4.418 -6.274 -1.192
-4.127 0.174 14.378
Nd Si Ir
12 8 12
direct
0.135 0.474 0.391 Nd
0.635 0.026 0.609 Nd
0.865 0.526 0.891 Nd
0.365 0.974 0.109 Nd
0.865 0.526 0.609 Nd
0.365 0.974 0.391 Nd
0.135 0.474 0.109 Nd
0.635 0.026 0.891 Nd
0.600 0.330 0.250 Nd
0.100 0.170 0.750 Nd
0.400 0.670 0.750 Nd
0.900 0.830 0.250 Nd
0.873 0.127 0.401 Si
0.373 0.373 0.599 Si
0.127 0.873 0.901 Si
0.627 0.627 0.099 Si
0.127 0.873 0.599 Si
0.627 0.627 0.401 Si
0.873 0.127 0.099 Si
0.373 0.373 0.901 Si
0.073 0.179 0.250 Ir
0.573 0.321 0.750 Ir
0.927 0.821 0.750 Ir
0.427 0.679 0.250 Ir
0.604 0.336 0.461 Ir
0.104 0.164 0.539 Ir
0.396 0.664 0.961 Ir
0.896 0.836 0.039 Ir
0.396 0.664 0.539 Ir
0.896 0.836 0.461 Ir
0.604 0.336 0.039 Ir
0.104 0.164 0.961 Ir

No. 7
GGA-PBE NdSi4Ir2, optimized geometry; E_form (uncorrected) = -0.757 eV/atom; crystal system = orthorhombic; total moment = 0.00 μB/f.u.
1.0
4.201 0.000 0.000
0.000 6.471 0.000
0.000 0.000 16.851
Nd Si Ir
4 16 8
direct
0.750 0.009 0.641 Nd
0.250 0.991 0.359 Nd
0.250 0.509 0.859 Nd
0.750 0.491 0.141 Nd
0.250 0.289 0.694 Si
0.750 0.711 0.306 Si
0.750 0.789 0.806 Si
0.250 0.211 0.194 Si
0.250 0.691 0.681 Si
0.750 0.309 0.319 Si
0.750 0.191 0.819 Si
0.250 0.809 0.181 Si
0.250 0.139 0.531 Si
0.750 0.861 0.469 Si
0.750 0.639 0.969 Si
0.250 0.361 0.031 Si
0.250 0.464 0.435 Si
0.750 0.536 0.565 Si
0.750 0.964 0.065 Si
0.250 0.036 0.935 Si
0.250 0.746 0.533 Ir
0.750 0.254 0.467 Ir
0.750 0.246 0.967 Ir
0.250 0.754 0.033 Ir
0.250 0.991 0.789 Ir
0.750 0.009 0.211 Ir
0.750 0.491 0.711 Ir
0.250 0.509 0.289 Ir

No. 8
GGA-PBE Nd2Si3Ir2, optimized geometry; distance to the lowest polymorph of the same formula = 0 meV/atom; E_form (uncorrected) = -0.813 eV/atom; crystal system = orthorhombic; total moment = 0.00 μB/f.u.
1.0
4.125 0.000 -0.983
0.000 7.003 0.000
-0.004 0.000 9.126
Nd Si Ir
4 6 4
direct
0.154 0.250 0.308 Nd
0.846 0.750 0.692 Nd
0.943 0.250 0.886 Nd
0.057 0.750 0.114 Nd
0.226 0.750 0.453 Si
0.774 0.250 0.547 Si
0.562 0.431 0.124 Si
0.438 0.569 0.876 Si
0.438 0.931 0.876 Si
0.562 0.069 0.124 Si
0.692 0.949 0.384 Ir
0.308 0.051 0.616 Ir
0.308 0.449 0.616 Ir
0.692 0.551 0.384 Ir

No. 9
GGA-PBE Nd4SiIr, optimized geometry; E_form (uncorrected) = -0.477 eV/atom; crystal system = monoclinic; total moment = 0.00 μB/f.u.
1.0
-4.378 4.362 -0.927
-2.009 -5.673 -5.354
-0.812 -2.364 7.843
Nd Si Ir
8 2 2
direct
0.029 0.230 0.871 Nd
0.781 0.694 0.634 Nd
0.343 0.641 0.871 Nd
0.353 0.940 0.634 Nd
0.647 0.060 0.366 Nd
0.657 0.359 0.129 Nd
0.219 0.306 0.366 Nd
0.971 0.770 0.129 Nd
0.379 0.629 0.258 Si
0.621 0.371 0.742 Si
0.250 0.000 0.000 Ir
0.750 0.000 0.000 Ir

No. 10
GGA-PBE Nd6Si2Ir, optimized geometry; E_form (uncorrected) = -0.418 eV/atom; crystal system = monoclinic; total moment = 0.00 μB/f.u.
1.0
-1.056 -4.501 4.483
7.558 1.022 2.806
-3.317 7.209 6.308
Nd Si Ir
12 4 2
direct
0.868 0.962 0.241 Nd
0.850 0.677 0.558 Nd
0.863 0.673 0.935 Nd
0.637 0.173 0.565 Nd
0.650 0.177 0.942 Nd
0.632 0.462 0.259 Nd
0.132 0.038 0.759 Nd
0.150 0.323 0.442 Nd
0.137 0.327 0.065 Nd
0.363 0.827 0.435 Nd
0.350 0.823 0.058 Nd
0.368 0.538 0.741 Nd
0.929 0.383 0.745 Si
0.571 0.883 0.755 Si
0.429 0.117 0.245 Si
0.071 0.617 0.255 Si
0.500 0.500 0.000 Ir
0.000 0.000 0.500 Ir

No. 11
GGA-PBE NdSi2Ir2, optimized geometry; E_form (uncorrected) = -1.035 eV/atom; crystal system = tetragonal; total moment = 0.00 μB/f.u.
1.0
-2.743 -1.504 2.790
0.076 -3.720 -1.931
7.489 -2.867 5.818
Si Ir Nd
4 4 2
direct
0.250 0.750 0.500 Si
0.750 0.250 0.500 Si
0.750 0.750 0.130 Si
0.250 0.250 0.870 Si
0.750 0.750 0.374 Ir
0.250 0.250 0.626 Ir
0.250 0.750 0.000 Ir
0.750 0.250 0.000 Ir
0.250 0.250 0.256 Nd
0.750 0.750 0.744 Nd

No. 12
GGA-PBE Nd2Si7Ir12, optimized geometry; E_form (uncorrected) = -0.811 eV/atom; crystal system = hexagonal; total moment = 0.00 μB/f.u.
1.0
3.907 0.000 0.000
0.000 8.483 -4.898
0.000 0.000 9.795
Nd Si Ir
2 7 12
direct
0.500 0.000 0.000 Nd
0.000 0.667 0.333 Nd
0.000 0.333 0.667 Si
0.000 0.044 0.781 Si
0.000 0.736 0.956 Si
0.000 0.219 0.264 Si
0.500 0.625 0.555 Si
0.500 0.930 0.375 Si
0.500 0.445 0.070 Si
0.500 0.893 0.609 Ir
0.500 0.716 0.107 Ir
0.500 0.391 0.284 Ir
0.500 0.223 0.805 Ir
0.500 0.582 0.777 Ir
0.500 0.195 0.418 Ir
0.000 0.063 0.546 Ir
0.000 0.483 0.937 Ir
0.000 0.454 0.517 Ir
0.000 0.775 0.730 Ir
0.000 0.955 0.225 Ir
0.000 0.270 0.045 Ir

Q: Which of these has the highest E_form (uncorrected)?
A: Nd6Si2Ir